# 1
Here is Sr3Tl3Ag after structural relaxation from Alexandria. Energies are from PBE-GGA.

## Properties
The energy relative to the elements comes out at -0.350 eV/atom. The crystal system is monoclinic. For the total magnetic moment, the calculation gives 0.00 μB/f.u. Its calculated total energy is -2.492 eV/atom.

abc: 12.6115 4.3029 17.7559
angles: 90.00 105.07 90.00
Last column: nearest neighbours and their distance in Å.
Space group C2/m (No. 12)
One atom of each set of equivalent atoms:
Sr 0.0061 0.0000 0.3829 [4 per cell]  2 Ag 3.35, 6 Tl 3.48-3.63
Sr 0.1148 0.0000 0.9238 [4 per cell]  7 Tl 3.47-3.56
Sr 0.2287 0.0000 0.2316 [4 per cell]  2 Ag 3.33, 5 Tl 3.48-3.55
Tl 0.0040 0.5000 0.2289 [4 per cell]  1 Ag 3.05, 1 Tl 3.31
Tl 0.1101 0.5000 0.0770 [4 per cell]  2 Tl 3.31-3.35, 7 Sr 3.47-3.56
Tl 0.1639 0.5000 0.5357 [4 per cell]  3 Ag 2.97-3.13
Ag 0.2038 0.5000 0.3691 [4 per cell]  4 Tl 2.97-3.13

# 2
Here is Be2CdTe after structural relaxation from Alexandria. Energies are from PBE-GGA.

## Properties
The energy above the most stable polymorph in this dataset is 2.57 eV/f.u. The crystal system is cubic. Its formation energy from raw total energies is 946 meV per atom. For the total magnetic moment, the calculation gives 0.00 μB/f.u. Its calculated total energy is -1.931 eV/atom.

abc: 6.7809 6.7809 6.7809
angles: 90.00 90.00 90.00
Last column: nearest neighbours and their distance in Å.
Space group F-43m (No. 216)
One atom of each set of equivalent atoms:
Be 0.0000 0.0000 0.0000 [4 per cell]  4 Cd 2.94, 4 Be 2.94
Be 0.2500 0.2500 0.2500 [4 per cell]  4 Te 2.94, 4 Be 2.94
Cd 0.2500 0.2500 0.7500 [4 per cell]  4 Te 2.94, 4 Be 2.94
Te 0.0000 0.0000 0.5000 [4 per cell]  4 Cd 2.94, 4 Be 2.94

# 3
Here is Ca2CuPd after structural relaxation from Alexandria. Energies are from PBE-GGA.

## Properties
The energy relative to the elements comes out at -0.373 eV/atom. The crystal system is tetragonal. For the total magnetic moment, the calculation gives 0.00 μB/f.u. Its calculated total energy is -3.696 eV/atom.

abc: 5.0128 5.0128 3.5753
angles: 90.00 90.00 90.00
Last column: nearest neighbours and their distance in Å.
Space group P4/mmm (No. 123)
One atom of each set of equivalent atoms:
Ca 0.0000 0.5000 0.0000 [2 per cell]  4 Cu 3.08, 4 Pd 3.08
Cu 0.0000 0.0000 0.5000 [1 per cell]  8 Ca 3.08
Pd 0.5000 0.5000 0.5000 [1 per cell]  8 Ca 3.08

# 4
Here is Sr2TaCl after structural relaxation from Alexandria. Energies are from PBE-GGA.

## Properties
The energy above the most stable polymorph in this dataset is 1.43 eV/f.u. The crystal system is orthorhombic. Its formation energy from raw total energies is 183 meV per atom. For the total magnetic moment, the calculation gives 1.09 μB/f.u. Its calculated total energy is -4.083 eV/atom.

abc: 3.3403 5.7315 11.7952
angles: 90.00 90.00 90.00
Last column: nearest neighbours and their distance in Å.
Space group Imm2 (No. 44)
One atom of each set of equivalent atoms:
Sr 0.0000 0.0000 0.0000 [2 per cell]  2 Cl 3.22, 2 Sr 3.34, 4 Ta 3.44
Sr 0.0000 0.5000 0.1919 [2 per cell]  4 Sr 3.34-3.65, 4 Cl 3.35, 2 Ta 3.60
Ta 0.0000 0.0000 0.4214 [2 per cell]  2 Cl 2.77
Cl 0.0000 0.5000 0.7335 [2 per cell]  2 Ta 2.77

# 5
Here is Rb3NaU2Se6 after structural relaxation from Alexandria. Energies are from PBE-GGA.

## Properties
The crystal system is monoclinic. Its formation energy from raw total energies is -1267 meV per atom. For the total magnetic moment, the calculation gives 4.00 μB/f.u. Its calculated total energy is -5.243 eV/atom.

abc: 7.4860 12.9627 8.3213
angles: 90.00 107.38 90.00
Last column: nearest neighbours and their distance in Å.
Space group C2/m (No. 12)
One atom of each set of equivalent atoms:
Rb 0.0000 0.0000 0.0000 [2 per cell]  6 Se 3.36-3.54
Rb 0.0000 0.3420 0.0000 [4 per cell]  6 Se 3.40-3.55
Na 0.0000 0.5000 0.5000 [2 per cell]  6 Se 3.08-3.11
U 0.0000 0.1674 0.5000 [4 per cell]  6 Se 2.86-2.87
Se 0.2073 0.0000 0.6932 [4 per cell]  2 U 2.87, 1 Na 3.08
Se 0.2454 0.3204 0.6969 [8 per cell]  2 U 2.86-2.87, 1 Na 3.11

# 6
Here is Sc5NiAu4 after structural relaxation from Alexandria. Energies are from PBE-GGA.

## Properties
The energy relative to the elements comes out at -0.738 eV/atom. The crystal system is tetragonal. For the total magnetic moment, the calculation gives 0.00 μB/f.u. Its calculated total energy is -5.793 eV/atom.

abc: 3.3723 3.3723 16.7636
angles: 90.00 90.00 90.00
Last column: nearest neighbours and their distance in Å.
Space group P4/mmm (No. 123)
One atom of each set of equivalent atoms:
Sc 0.0000 0.0000 0.0000 [1 per cell]  8 Au 2.94
Sc 0.0000 0.0000 0.2057 [2 per cell]  8 Au 2.94-2.95
Sc 0.0000 0.0000 0.4104 [2 per cell]  4 Ni 2.82, 4 Au 2.94, 1 Sc 3.00
Ni 0.5000 0.5000 0.5000 [1 per cell]  8 Sc 2.82
Au 0.5000 0.5000 0.1022 [2 per cell]  8 Sc 2.94-2.95
Au 0.5000 0.5000 0.3082 [2 per cell]  8 Sc 2.94, 1 Ni 3.21